The following is a GGA+U calculation of crystalline Co2P2O7 at its relaxed geometry, from OQMD via LeMat-Bulk.

Results
E = -6.888 eV/atom
crystal system = monoclinic
size of the total moment = 0.545 μB/atom

abc: 6.5146 8.3650 4.4756
angles: 90.00 102.70 90.00
Space group C2/m (No. 12)
Inequivalent atoms, fractional coordinates:
Co 0.0000 0.1872 0.0000 x4
P 0.2180 0.5000 0.4055 x4
O 0.0000 0.5000 0.5000 x2
O 0.1220 0.0000 0.2869 x4
O 0.2270 0.3469 0.2207 x8